Below is an optimized crystal structure of Tb3In2Sn, with properties calculated at the GGA-PBE level.

a = 5.3323 Å, b = 5.3323 Å, c = 6.5852 Å
α = 90.00°, β = 90.00°, γ = 120.00°
Atoms (fractional coordinates):
Tb  0.3333  0.6667  0.1514
Tb  0.0000  0.0000  0.5000
Tb  0.6667  0.3333  0.8486
Sn  0.0000  0.0000  0.0000
In  0.6667  0.3333  0.3518
In  0.3333  0.6667  0.6482

Formation enthalpy at 0 K in kJ/mol of formula units: -301
Density of states at the Fermi level in states/eV/f.u.: 3.09
Spin magnetization in μB/f.u.: 0.0


Below is an optimized crystal structure of HfGeOs3, with properties calculated at the GGA-PBE level.

a = 4.8312 Å, b = 4.8312 Å, c = 4.8312 Å
α = 90.00°, β = 90.00°, γ = 90.00°
Last column: magnetic moment on the atom in μB.
Atoms (fractional coordinates):
Hf  0.0000  0.0000  0.0000  -0.04
Os  0.0000  0.5000  0.0000  0.29
Ge  0.5000  0.5000  0.5000  -0.03
Os  0.0000  0.0000  0.5000  0.21
Os  0.5000  0.0000  0.0000  0.30

Formation enthalpy at 0 K in kJ/mol of formula units: 1135
Density of states at the Fermi level in states/eV/f.u.: 7.40
Spin magnetization in μB/f.u.: 0.8


Below is an optimized crystal structure of NdScRe, with properties calculated at the GGA-PBE level.

a = 6.0753 Å, b = 6.0753 Å, c = 13.6540 Å
α = 77.15°, β = 77.15°, γ = 60.00°
Atoms (fractional coordinates):
Nd  0.0372  0.0372  0.8884
Sc  0.2842  0.2842  0.6687
Nd  0.1814  0.1814  0.4559
Sc  0.7630  0.2842  0.6687
Re  0.3812  0.3812  0.8565
Sc  0.2842  0.7630  0.6687
Re  0.5000  0.0000  0.0000
Nd  0.7280  0.7280  0.8160
Re  0.0000  0.5000  0.0000
Re  0.5000  0.5000  0.0000
Sc  0.2370  0.7158  0.3313
Nd  0.8186  0.8186  0.5441
Sc  0.7158  0.7158  0.3313
Re  0.5000  0.5000  0.5000
Nd  0.2720  0.2720  0.1840
Nd  0.9628  0.9628  0.1116
Re  0.6188  0.6188  0.1435
Sc  0.7158  0.2370  0.3313

Formation enthalpy at 0 K in kJ/mol of formula units: 53
Density of states at the Fermi level in states/eV/f.u.: 5.04
Spin magnetization in μB/f.u.: 0.0


Below is an optimized crystal structure of Na4Pr3GaO8, with properties calculated at the GGA-PBE level.

a = 6.9174 Å, b = 6.8589 Å, c = 7.1057 Å
α = 119.49°, β = 119.13°, γ = 90.00°
Atoms (fractional coordinates):
O  0.8043  0.3103  0.0272
Pr  0.0000  0.5000  0.5000
O  0.7771  0.6897  0.9728
Ga  0.0000  0.5000  0.0000
Na  0.0000  0.0000  0.0000
Pr  0.5000  0.5000  0.0000
Na  0.0000  0.0000  0.5000
Na  0.5000  0.0000  0.0000
O  0.7317  0.7196  0.4634
O  0.7262  0.2405  0.4523
O  0.2229  0.3103  0.0272
O  0.2738  0.7595  0.5477
O  0.1957  0.6897  0.9728
Pr  0.5000  0.5000  0.5000
O  0.2683  0.2804  0.5366
Na  0.5000  0.0000  0.5000

Density of states at the Fermi level in states/eV/f.u.: 0.00
Spin magnetization in μB/f.u.: 0.1
Uncorrected formation energy in eV/f.u.: -36.34


Below is an optimized crystal structure of TaCu3, with properties calculated at the GGA-PBE level.

a = 2.7339 Å, b = 2.7339 Å, c = 7.2931 Å
α = 90.00°, β = 90.00°, γ = 89.96°
Atoms (fractional coordinates):
Ta  0.5000  0.5000  0.2500
Cu  0.0000  0.0000  0.5228
Cu  0.0000  0.0000  0.9772
Cu  0.5000  0.5000  0.7500

Formation enthalpy at 0 K in kJ/mol of formula units: 32
Density of states at the Fermi level in states/eV/f.u.: 2.01
Spin magnetization in μB/f.u.: 0.0


Below is an optimized crystal structure of Mg2CrRe, with properties calculated at the GGA-PBE level.

a = 9.5885 Å, b = 9.5885 Å, c = 9.5885 Å
α = 16.74°, β = 16.74°, γ = 16.74°
Last column: magnetic moment on the atom in μB.
Atoms (fractional coordinates):
Mg  0.4997  0.4997  0.4997  -0.01
Cr  0.7500  0.7500  0.7500  1.55
Re  0.2500  0.2500  0.2500  -0.03
Mg  0.0003  0.0003  0.0003  -0.01

Formation enthalpy at 0 K in kJ/mol of formula units: 201
Density of states at the Fermi level in states/eV/f.u.: 4.11
Spin magnetization in μB/f.u.: 1.6


Below is an optimized crystal structure of LaHo3, with properties calculated at the GGA-PBE level.

a = 3.6558 Å, b = 5.7452 Å, c = 6.2607 Å
α = 90.00°, β = 90.00°, γ = 90.00°
Atoms (fractional coordinates):
La  0.0000  0.0000  0.9959
Ho  0.0000  0.5000  0.3374
Ho  0.5000  0.5000  0.8337
Ho  0.5000  0.0000  0.4996

Formation enthalpy at 0 K in kJ/mol of formula units: 13
Density of states at the Fermi level in states/eV/f.u.: 7.68
Spin magnetization in μB/f.u.: 0.0


Below is an optimized crystal structure of LaGdAg, with properties calculated at the GGA-PBE level.

a = 3.7922 Å, b = 5.1387 Å, c = 5.1387 Å
α = 120.00°, β = 90.00°, γ = 90.00°
Last column: magnetic moment on the atom in μB.
Atoms (fractional coordinates):
La  0.9756  0.0000  0.0000  -0.03
Gd  0.4100  0.3333  0.6667  -7.14
Ag  0.6144  0.6667  0.3333  -0.01

Formation enthalpy at 0 K in kJ/mol of formula units: -10
Density of states at the Fermi level in states/eV/f.u.: 3.69
Spin magnetization in μB/f.u.: 7.4


- Among the records above, which one has the highest density of states at the Fermi level?
  LaHo3


Copy entry 1 word for word.
Below is an optimized crystal structure of Tb3In2Sn, with properties calculated at the GGA-PBE level.

a = 5.3323 Å, b = 5.3323 Å, c = 6.5852 Å
α = 90.00°, β = 90.00°, γ = 120.00°
Atoms (fractional coordinates):
Tb  0.3333  0.6667  0.1514
Tb  0.0000  0.0000  0.5000
Tb  0.6667  0.3333  0.8486
Sn  0.0000  0.0000  0.0000
In  0.6667  0.3333  0.3518
In  0.3333  0.6667  0.6482

Formation enthalpy at 0 K in kJ/mol of formula units: -301
Density of states at the Fermi level in states/eV/f.u.: 3.09
Spin magnetization in μB/f.u.: 0.0